(1)
# Nd4Sm8Ho3, relaxed, DFT PBE
# N(E_F) ... 28.74 states/eV/f.u.
# Space-group type ... C2/m, No. 12
# Formation enthalpy at 0 K ... 0.3490 eV per atom
data_Nd4Sm8Ho3
_cell_length_a 9.374
_cell_length_b 9.374
_cell_length_c 6.853
_cell_angle_alpha 111.31
_cell_angle_beta 111.31
_cell_angle_gamma 86.89
_space_group_name_H-M_alt 'P 1'
_space_group_IT_number 1
_space_group_name_Hall 'P 1'
loop_
_atom_site_label
_atom_site_type_symbol
_atom_site_fract_x
_atom_site_fract_y
_atom_site_fract_z
_atom_site_occupancy
Nd1 Nd 0.000 0.000 0.000 1
Nd2 Nd 0.000 0.000 0.500 1
Nd3 Nd 0.000 0.500 0.000 1
Nd4 Nd 0.500 0.000 0.000 1
Sm1 Sm 0.255 0.745 0.000 1
Sm2 Sm 0.262 0.262 0.520 1
Sm3 Sm 0.274 0.274 0.056 1
Sm4 Sm 0.357 0.643 0.500 1
Sm5 Sm 0.643 0.357 0.500 1
Sm6 Sm 0.726 0.726 0.944 1
Sm7 Sm 0.738 0.738 0.480 1
Sm8 Sm 0.745 0.255 0.000 1
Ho1 Ho 0.000 0.500 0.500 1
Ho2 Ho 0.500 0.000 0.500 1
Ho3 Ho 0.500 0.500 0.000 1



(2)
# Nd2Sm12Ho, relaxed, DFT PBE
# N(E_F) ... 22.08 states/eV/f.u.
# Space-group type ... Cmme, No. 67
# Formation enthalpy at 0 K ... 0.1558 eV per atom
data_Nd2Sm12Ho
_cell_length_a 6.799
_cell_length_b 6.799
_cell_length_c 24.973
_cell_angle_alpha 90.00
_cell_angle_beta 90.00
_cell_angle_gamma 116.31
_space_group_name_H-M_alt 'P 1'
_space_group_IT_number 1
_space_group_name_Hall 'P 1'
loop_
_atom_site_label
_atom_site_type_symbol
_atom_site_fract_x
_atom_site_fract_y
_atom_site_fract_z
_atom_site_occupancy
Nd1 Nd 0.250 0.750 0.234 1
Nd2 Nd 0.250 0.750 0.773 1
Nd3 Nd 0.750 0.250 0.227 1
Nd4 Nd 0.750 0.250 0.766 1
Sm1 Sm 0.001 0.501 0.627 1
Sm2 Sm 0.001 0.999 0.425 1
Sm3 Sm 0.019 0.519 0.083 1
Sm4 Sm 0.023 0.977 0.940 1
Sm5 Sm 0.250 0.250 0.173 1
Sm6 Sm 0.250 0.250 0.301 1
Sm7 Sm 0.250 0.250 0.699 1
Sm8 Sm 0.250 0.250 0.827 1
Sm9 Sm 0.477 0.523 0.940 1
Sm10 Sm 0.481 0.981 0.083 1
Sm11 Sm 0.499 0.501 0.425 1
Sm12 Sm 0.499 0.999 0.627 1
Sm13 Sm 0.501 0.001 0.373 1
Sm14 Sm 0.501 0.499 0.575 1
Sm15 Sm 0.519 0.019 0.917 1
Sm16 Sm 0.523 0.477 0.060 1
Sm17 Sm 0.750 0.750 0.173 1
Sm18 Sm 0.750 0.750 0.301 1
Sm19 Sm 0.750 0.750 0.699 1
Sm20 Sm 0.750 0.750 0.827 1
Sm21 Sm 0.977 0.023 0.060 1
Sm22 Sm 0.981 0.481 0.917 1
Sm23 Sm 0.999 0.001 0.575 1
Sm24 Sm 0.999 0.499 0.373 1
Ho1 Ho 0.250 0.750 0.500 1
Ho2 Ho 0.750 0.250 0.500 1